# 1
## LaIr2Br (PBE)

Data for a geometry-optimized LaIr2Br structure.

POSCAR file:
```
LaIr2Br
1.0
3.1880 0.0000 0.0000
0.0000 3.1880 0.0000
0.0000 0.0000 7.8553
Ir Br La
2 1 1
Cartesian
0.0000 0.0000 7.6520
0.0000 0.0000 4.1310
1.5940 1.5940 5.8915
1.5940 1.5940 1.9638
```

## Properties
Its density of states at the Fermi level is 3.58 states/eV per cell. The value obtained for the formation energy (no corrections) is 1.9 eV per formula unit. For the energy above the most stable polymorph in this dataset, the calculation gives 0.980 eV per atom.

***

# 2
## La2IrBr (PBE)

Data for a geometry-optimized La2IrBr structure.

POSCAR file:
```
La2IrBr
1.0
6.6171 -0.0123 0.0000
3.9984 5.2725 0.0000
-5.3078 -2.6301 2.9490
Br Ir La
1 1 2
Cartesian
5.3078 2.6301 0.0000
1.9992 2.6362 1.4745
0.0000 0.0000 0.0000
3.3086 -0.0061 1.4745
```

## Properties
Its density of states at the Fermi level is 2.13 states/eV per cell. The value obtained for the formation energy (no corrections) is -2.9 eV per formula unit. For the energy above the most stable polymorph in this dataset, the calculation gives 0.524 eV per atom.

***

# 3
## LaIr2Br (PBE)

Data for a geometry-optimized LaIr2Br structure.

POSCAR file:
```
LaIr2Br
1.0
-2.6873 3.0420 -1.5897
-1.4209 0.2372 -4.1143
-7.1495 -3.4048 0.1963
Ir La Br
2 1 1
Cartesian
-6.0694 -2.6451 -0.1059
-8.8984 -0.3582 -4.0658
-5.9390 -0.3253 -2.6178
-3.1292 -0.2647 -1.2756
```

## Properties
Its density of states at the Fermi level is 2.45 states/eV per cell. The value obtained for the formation energy (no corrections) is -2.0 eV per formula unit. For the energy above the most stable polymorph in this dataset, the calculation gives 0.000 eV per atom.

***

# 4
## LaIr2Br (PBE)

Data for a geometry-optimized LaIr2Br structure.

POSCAR file:
```
LaIr2Br
1.0
6.0133 -0.0010 0.0000
3.3722 4.9788 0.0000
-4.6928 -2.4889 2.8184
Ir Br La
2 1 1
Cartesian
4.6928 2.4889 0.0000
0.0000 0.0000 0.0000
3.0067 -0.0005 1.4092
1.6861 2.4894 1.4092
```

## Properties
Its density of states at the Fermi level is 5.65 states/eV per cell. The value obtained for the formation energy (no corrections) is 0.1 eV per formula unit. For the energy above the most stable polymorph in this dataset, the calculation gives 0.534 eV per atom.

***

# 5
## La4IrBr2 (PBE)

Data for a geometry-optimized La4IrBr2 structure.

POSCAR file:
```
La4IrBr2
1.0
5.7755 0.0000 0.0000
0.0000 5.7755 0.0000
2.8877 2.8877 7.4360
Ir Br La
1 2 4
Cartesian
0.0000 0.0000 0.0000
2.8877 2.8877 1.6063
5.7755 5.7755 5.8297
0.0000 2.8877 0.0000
5.7755 5.7755 2.8127
2.8877 0.0000 0.0000
2.8877 2.8877 4.6233
```

## Properties
Its density of states at the Fermi level is 9.75 states/eV per cell. The value obtained for the formation energy (no corrections) is -5.6 eV per formula unit.

***

# 6
## La2IrBr (PBE)

Data for a geometry-optimized La2IrBr structure.

POSCAR file:
```
La2IrBr
1.0
4.1987 0.0000 0.0000
2.0994 3.6362 0.0000
2.0994 1.2121 8.0266
Br La Ir
1 2 1
Cartesian
4.1987 2.4241 4.0685
2.0994 1.2121 1.5290
2.0994 1.2121 6.4625
6.2981 3.6362 8.0066
```

## Properties
Its density of states at the Fermi level is 1.70 states/eV per cell. The value obtained for the formation energy (no corrections) is -4.9 eV per formula unit. For the energy above the most stable polymorph in this dataset, the calculation gives 0.026 eV per atom.

***

# 7
## La2IrBr (PBE)

Data for a geometry-optimized La2IrBr structure.

POSCAR file:
```
La2IrBr
1.0
6.0620 0.0000 0.0000
0.0000 4.2725 0.0000
0.0000 0.0000 4.2645
Ir La Br
1 2 1
Cartesian
3.0310 3.7372 3.7331
0.0000 3.7398 3.7293
3.0310 1.6004 1.6019
0.0000 1.6037 1.5968
```

## Properties
Its density of states at the Fermi level is 3.47 states/eV per cell. The value obtained for the formation energy (no corrections) is -4.0 eV per formula unit. For the energy above the most stable polymorph in this dataset, the calculation gives 0.246 eV per atom.

***

# 8
## La2IrBr (PBE)

Data for a geometry-optimized La2IrBr structure.

POSCAR file:
```
La2IrBr
1.0
4.7261 0.0000 0.0000
0.0000 5.8350 0.0000
0.0000 0.0000 3.6883
Br La Ir
1 2 1
Cartesian
2.3631 0.0000 1.8442
2.3631 2.9175 0.0000
0.0000 0.0000 0.0000
0.0000 2.9175 1.8442
```

## Properties
Its density of states at the Fermi level is 3.15 states/eV per cell. The value obtained for the formation energy (no corrections) is -3.2 eV per formula unit. For the energy above the most stable polymorph in this dataset, the calculation gives 0.437 eV per atom.

***

# 9
## LaIr2Br (PBE)

Data for a geometry-optimized LaIr2Br structure.

POSCAR file:
```
LaIr2Br
1.0
-1.0936 2.5749 2.2196
0.0560 -2.3182 2.7168
7.7323 0.9324 2.7281
La Ir Br
1 2 1
Cartesian
3.6232 -0.9245 2.8577
1.0882 -1.5692 2.3565
1.0608 1.0166 2.2161
4.8725 -0.3449 5.6735
```

## Properties
Its density of states at the Fermi level is 1.91 states/eV per cell. The value obtained for the formation energy (no corrections) is -1.6 eV per formula unit. For the energy above the most stable polymorph in this dataset, the calculation gives 0.111 eV per atom.

***

# 10
## La3Ir2Br (PBE)

Data for a geometry-optimized La3Ir2Br structure.

POSCAR file:
```
La3Ir2Br
1.0
-2.2375 3.6800 -0.4146
-3.5551 -3.9453 6.7430
6.1987 4.4291 5.8596
La Br Ir
6 2 4
Cartesian
0.6201 3.3528 3.8361
2.2122 2.5445 10.6453
-1.8061 1.6193 1.5427
-0.2140 0.8110 8.3519
3.5085 2.8081 5.9895
-3.1024 1.3557 6.1985
-0.5159 0.1768 4.3533
0.9220 3.9869 7.8346
-2.9584 -0.9234 7.7688
3.3645 5.0872 4.4192
6.1987 4.4291 5.8596
3.0993 2.2146 2.9298
```

## Properties
Its density of states at the Fermi level is 10.16 states/eV per cell. The value obtained for the formation energy (no corrections) is -4.5 eV per formula unit.

***

# 11
## LaIr2Br (PBE)

Data for a geometry-optimized LaIr2Br structure.

POSCAR file:
```
LaIr2Br
1.0
5.6905 0.0508 -0.0104
2.0118 5.3233 0.0104
-3.3859 -3.3538 3.1100
Br La Ir
1 1 2
Cartesian
0.7657 1.9983 1.5602
3.7857 2.6414 0.0000
3.7027 0.1280 1.5498
7.6158 5.3137 0.0000
```

## Properties
Its density of states at the Fermi level is 1.99 states/eV per cell. The value obtained for the formation energy (no corrections) is -0.5 eV per formula unit. For the energy above the most stable polymorph in this dataset, the calculation gives 0.391 eV per atom.

***

# 12
## La3IrBr (PBE)

Data for a geometry-optimized La3IrBr structure.

POSCAR file:
```
La3IrBr
1.0
5.6897 0.0000 0.0000
0.0000 5.6897 0.0000
0.0000 0.0000 5.6897
La Ir Br
3 1 1
Cartesian
0.0000 2.8449 0.0000
2.8449 0.0000 0.0000
0.0000 0.0000 2.8449
0.0000 0.0000 0.0000
2.8449 2.8449 2.8449
```

## Properties
Its density of states at the Fermi level is 8.38 states/eV per cell. The value obtained for the formation energy (no corrections) is -2.7 eV per formula unit. For the energy above the most stable polymorph in this dataset, the calculation gives 0.000 eV per atom.

***

# 13
## LaIrBr4 (PBE)

Data for a geometry-optimized LaIrBr4 structure.

POSCAR file:
```
LaIrBr4
1.0
2.9177 -4.1004 3.5047
1.1627 1.2718 5.8855
-3.0352 -2.9564 4.4335
Br La Ir
4 1 1
Cartesian
-1.1212 -3.6455 7.3993
0.9720 -1.5372 8.1233
0.3923 -2.1713 5.1886
1.8471 -4.2160 6.9361
0.0000 0.0000 0.0000
0.7838 -4.3387 10.3677
```

## Properties
Its density of states at the Fermi level is 9.04 states/eV per cell. The value obtained for the formation energy (no corrections) is 2.6 eV per formula unit.

***

# 14
## La3IrBr3 (PBE)

Data for a geometry-optimized La3IrBr3 structure.

POSCAR file:
```
La3IrBr3
1.0
-5.5921 -5.6139 -7.0870
9.8245 -3.9953 0.7281
-4.7558 -0.5357 9.4925
La Br Ir
12 12 4
Cartesian
1.0226 -4.6926 -0.7446
-6.3445 -4.5323 -0.7057
-2.6355 -3.9070 1.1878
-1.0438 -0.3545 2.4334
-3.1544 -5.2892 -2.6233
2.3607 -1.2447 0.1204
-2.2682 -2.7788 5.6516
4.7683 -4.6131 0.8888
-1.4804 -1.5701 -1.5748
4.5853 -5.7242 -2.7387
1.1049 -2.4247 7.3615
0.9912 -3.4484 3.2783
-1.4829 -5.2896 3.9191
2.1665 -6.1277 1.8155
-1.6106 -6.5506 -0.1845
-1.7874 -7.7369 -4.3085
-5.1001 -4.3683 6.0435
-5.3004 -5.5842 2.0738
2.4805 -4.8200 5.8475
0.6164 -9.9363 0.7402
-2.9472 -9.0628 2.9725
5.9716 -5.6483 3.7489
0.9025 -8.6850 4.8387
1.9039 -7.3493 -2.4373
-0.1309 -2.5362 0.7834
-3.9850 -2.9409 -1.1703
3.5142 -3.4011 -1.4077
0.0782 -1.2667 4.9283
```

## Properties
Its density of states at the Fermi level is 13.69 states/eV per cell. The value obtained for the formation energy (no corrections) is -10.6 eV per formula unit. For the energy above the most stable polymorph in this dataset, the calculation gives 0.000 eV per atom.

***

# 15
## La2IrBr2 (PBE)

Data for a geometry-optimized La2IrBr2 structure.

POSCAR file:
```
La2IrBr2
1.0
4.1403 0.0000 0.6499
2.0192 3.6146 0.6499
0.3631 0.2131 11.1996
Br La Ir
2 2 1
Cartesian
0.9301 0.5458 7.5876
5.5925 3.2819 4.9119
2.6728 1.5685 9.9990
3.8498 2.2592 2.5005
0.0000 0.0000 0.0000
```

## Properties
Its density of states at the Fermi level is 3.91 states/eV per cell. The value obtained for the formation energy (no corrections) is -6.8 eV per formula unit.

***

# 16
## La3IrBr3 (PBE)

Data for a geometry-optimized La3IrBr3 structure.

POSCAR file:
```
La3IrBr3
1.0
4.4268 0.0000 0.0000
0.0000 9.1318 -0.5720
0.0000 -0.1511 12.0725
La Br Ir
6 6 2
Cartesian
1.1067 7.9857 1.3496
1.1067 8.1136 6.7718
3.3201 6.0429 4.1123
3.3201 0.8671 4.7287
3.3201 0.9950 10.1509
1.1067 2.9377 7.3882
3.3201 5.8544 1.0265
3.3201 5.5022 7.2141
1.1067 3.4785 4.2865
1.1067 7.9771 10.1278
1.1067 3.1263 10.4740
3.3201 1.0035 1.3727
3.3201 1.0317 7.5159
1.1067 7.9490 3.9846
```

## Properties
Its density of states at the Fermi level is 8.16 states/eV per cell. The value obtained for the formation energy (no corrections) is -10.5 eV per formula unit. For the energy above the most stable polymorph in this dataset, the calculation gives 0.020 eV per atom.

***

# 17
## LaIr2Br (PBE)

Data for a geometry-optimized LaIr2Br structure.

POSCAR file:
```
LaIr2Br
1.0
9.5021 -0.0384 -0.0225
8.9990 3.0514 -0.0225
8.9990 1.4655 2.6765
Br La Ir
1 1 2
Cartesian
20.6251 3.3589 1.9736
6.8750 1.1196 0.6579
0.1677 0.0273 0.0160
13.5823 2.2120 1.2997
```

## Properties
Its density of states at the Fermi level is 1.79 states/eV per cell. The value obtained for the formation energy (no corrections) is 2.7 eV per formula unit. For the energy above the most stable polymorph in this dataset, the calculation gives 1.175 eV per atom.

***

# 18
## LaIr2Br (PBE)

Data for a geometry-optimized LaIr2Br structure.

POSCAR file:
```
LaIr2Br
1.0
-3.3963 -1.4471 3.2191
0.5147 -4.2656 2.3520
1.0274 -0.0477 4.7890
Ir La Br
2 1 1
Cartesian
0.0000 0.0000 0.0000
-0.4636 -1.4401 2.5900
-1.3907 -4.3204 7.7701
-0.9271 -2.8802 5.1800
```

## Properties
Its density of states at the Fermi level is 6.64 states/eV per cell. The value obtained for the formation energy (no corrections) is 1.0 eV per formula unit. For the energy above the most stable polymorph in this dataset, the calculation gives 0.752 eV per atom.

***

# 19
## LaIr2Br (PBE)

Data for a geometry-optimized LaIr2Br structure.

POSCAR file:
```
LaIr2Br
1.0
-0.9685 2.1170 4.6952
1.3654 -2.5230 1.4192
4.2659 2.3370 -0.1737
Ir La Br
2 1 1
Cartesian
1.2744 -2.3157 1.3070
2.9066 -0.3002 0.7350
0.9235 1.0120 2.6590
3.7392 0.9190 3.2817
```

## Properties
Its density of states at the Fermi level is 4.09 states/eV per cell. The value obtained for the formation energy (no corrections) is 0.2 eV per formula unit. For the energy above the most stable polymorph in this dataset, the calculation gives 0.545 eV per atom.

***

# 20
## La2IrBr (PBE)

Data for a geometry-optimized La2IrBr structure.

POSCAR file:
```
La2IrBr
1.0
5.1517 0.0000 0.0000
2.5758 4.4615 0.0000
2.5758 1.4872 4.2063
Ir Br La
1 1 2
Cartesian
7.7275 4.4615 3.1547
5.1517 2.9743 2.1032
0.0000 0.0000 0.0000
2.5758 1.4872 1.0516
```

## Properties
Its density of states at the Fermi level is 3.15 states/eV per cell. The value obtained for the formation energy (no corrections) is -0.6 eV per formula unit. For the energy above the most stable polymorph in this dataset, the calculation gives 1.093 eV per atom.